(1)
Material: Hg2TeAs2
Method: DFT, PBE-GGA
State: optimized geometry

Cell and atoms, written as POSCAR:
```
Hg2TeAs2
1.0
-4.2196 2.9660 -5.7791
4.9616 -2.9762 -5.1502
-2.9610 -4.5958 -0.1968
Te Hg As
2 4 4
direct
0.0000 0.0000 0.0000
0.5000 0.5000 0.0000
0.6451 0.8549 0.0000
0.1451 0.6451 0.0000
0.3549 0.1451 0.0000
0.8549 0.3549 0.0000
0.8956 0.3956 0.5000
0.1044 0.6044 0.5000
0.3956 0.1044 0.5000
0.6044 0.8956 0.5000
```

Values from the calculation:
Formation energy from raw total energies: 25.85 kJ/mol of atoms
Symmetry: P4/mbm (127)
V: 32.8 Å³ per atom

=====

(2)
Material: HgTe2As
Method: DFT, PBE-GGA
State: optimized geometry

Cell and atoms, written as POSCAR:
```
HgTe2As
1.0
4.2358 0.0000 0.0000
0.0000 4.3179 0.0000
0.0000 0.0000 6.3230
As Hg Te
1 1 2
direct
0.0000 0.0000 0.3452
0.5000 0.5000 0.8465
0.0000 0.0000 0.9302
0.5000 0.5000 0.3782
```

Values from the calculation:
Formation energy from raw total energies: 0.83 kJ/mol of atoms
Symmetry: Pmm2 (25)
V: 28.9 Å³ per atom

=====

(3)
Material: HgTe2As
Method: DFT, PBE-GGA
State: optimized geometry

Cell and atoms, written as POSCAR:
```
HgTe2As
1.0
6.6801 0.2859 -0.1956
3.6151 5.6246 0.1956
-4.8807 -3.4201 3.0373
As Hg Te
1 1 2
direct
0.7500 0.2500 0.5000
0.2500 0.7500 0.5000
0.9290 0.9290 0.0000
0.5710 0.5710 0.0000
```

Values from the calculation:
Formation energy from raw total energies: 21.62 kJ/mol of atoms
Symmetry: Immm (71)
V: 28.1 Å³ per atom

=====

(4)
Material: Hg2TeAs
Method: DFT, PBE-GGA
State: optimized geometry

Cell and atoms, written as POSCAR:
```
Hg2TeAs
1.0
3.6370 -0.0130 0.0000
-1.7439 3.1916 0.0000
0.0000 0.0000 10.5026
Te Hg As
1 2 1
direct
0.0000 0.0000 0.5458
0.0000 0.0000 0.9769
0.5000 0.5000 0.2490
0.5000 0.5000 0.7282
```

Values from the calculation:
Formation energy from raw total energies: 21.44 kJ/mol of atoms
Symmetry: Cmm2 (35)
V: 30.4 Å³ per atom

=====

(5)
Material: HgTe2As
Method: DFT, PBE-GGA
State: optimized geometry

Cell and atoms, written as POSCAR:
```
HgTe2As
1.0
-2.8230 -3.0721 0.2484
-1.0584 -1.5693 3.7264
-6.8263 3.5844 1.9145
Hg As Te
1 1 2
direct
0.4987 0.4987 0.5039
0.6682 0.6682 0.9955
0.0734 0.0734 0.7799
0.2598 0.2598 0.2207
```

Values from the calculation:
Formation energy from raw total energies: 2.75 kJ/mol of atoms
Symmetry: R3m (160)
V: 28.6 Å³ per atom

=====

(6)
Material: Hg2TeAs2
Method: DFT, PBE-GGA
State: optimized geometry

Cell and atoms, written as POSCAR:
```
Hg2TeAs2
1.0
-1.6159 0.5496 -3.7793
-3.8091 0.0639 1.6379
-2.1768 8.3045 -0.1368
Te Hg As
1 2 2
direct
0.0000 0.0000 0.0000
0.2500 0.7500 0.5000
0.7500 0.2500 0.5000
0.5733 0.5733 0.8534
0.4267 0.4267 0.1466
```

Values from the calculation:
Formation energy from raw total energies: 28.04 kJ/mol of atoms
Symmetry: I4/mmm (139)
V: 27.8 Å³ per atom

=====

(7)
Material: HgTe2As2
Method: DFT, PBE-GGA
State: optimized geometry

Cell and atoms, written as POSCAR:
```
HgTe2As2
1.0
8.5411 0.0000 0.0000
0.0000 8.5411 0.0000
0.0000 0.0000 3.8732
Te As Hg
4 4 2
direct
0.3527 0.1473 0.5000
0.8527 0.3527 0.5000
0.1473 0.6473 0.5000
0.6473 0.8527 0.5000
0.7003 0.2003 0.0000
0.2997 0.7997 0.0000
0.2003 0.2997 0.0000
0.7997 0.7003 0.0000
0.0000 0.0000 0.0000
0.5000 0.5000 0.0000
```

Values from the calculation:
Formation energy from raw total energies: 16.17 kJ/mol of atoms
Symmetry: P4/mbm (127)
V: 28.3 Å³ per atom

=====

(8)
Material: HgTeAs
Method: DFT, PBE-GGA
State: optimized geometry

Cell and atoms, written as POSCAR:
```
HgTeAs
1.0
5.2933 0.0000 0.0000
-2.6467 4.5842 0.0000
0.0000 0.0000 3.1066
Te Hg As
1 1 1
direct
0.6667 0.3333 0.8319
0.3333 0.6667 0.3361
0.0000 0.0000 0.8320
```

Values from the calculation:
Formation energy from raw total energies: 29.20 kJ/mol of atoms
Symmetry: P3m1 (156)
V: 25.1 Å³ per atom

=====

(9)
Material: HgTeAs
Method: DFT, PBE-GGA
State: optimized geometry

Cell and atoms, written as POSCAR:
```
HgTeAs
1.0
-1.8585 4.5979 -0.2047
-3.0550 1.2797 -3.6968
-4.8167 0.7730 0.9158
As Te Hg
1 1 1
direct
0.7500 0.7500 0.7500
0.5000 0.5000 0.5000
0.0000 0.0000 0.0000
```

Values from the calculation:
Formation energy from raw total energies: 32.52 kJ/mol of atoms
Symmetry: F-43m (216)
V: 28.8 Å³ per atom

=====

(10)
Material: Hg2TeAs
Method: DFT, PBE-GGA
State: optimized geometry

Cell and atoms, written as POSCAR:
```
Hg2TeAs
1.0
3.0640 0.0000 0.0000
0.0000 6.5417 0.0000
0.0000 0.0000 5.6566
As Hg Te
1 2 1
direct
0.5000 0.5000 0.7500
0.0000 0.0000 0.5003
0.0000 0.0000 0.9997
0.5000 0.5000 0.2500
```

Values from the calculation:
Formation energy from raw total energies: 21.94 kJ/mol of atoms
Symmetry: Pmmm (47)
V: 28.3 Å³ per atom

=====

(11)
Material: TiHg2TeAs
Method: DFT, PBE-GGA
State: optimized geometry

Cell and atoms, written as POSCAR:
```
TiHg2TeAs
1.0
-3.9789 -1.9412 -3.1927
0.2759 -4.2666 2.2504
-3.7235 1.6709 3.6245
Te Ti Hg As
1 1 2 1
direct
0.5000 0.5000 0.5000
0.0000 0.0000 0.0000
0.5000 0.0000 0.0000
0.0000 0.0000 0.5000
0.0000 0.5000 0.0000
```

Values from the calculation:
Formation energy from raw total energies: 35.91 kJ/mol of atoms
Symmetry: P4/mmm (123)
V: 28.8 Å³ per atom

=====

(12)
Material: Tl2HgTe4As
Method: DFT, PBE-GGA
State: optimized geometry

Cell and atoms, written as POSCAR:
```
Tl2HgTe4As
1.0
-5.9522 0.9034 6.5509
3.4662 -7.1287 4.0404
5.2585 6.8899 -2.3159
Te Hg Tl As
8 2 4 2
direct
0.2235 0.7538 0.9886
0.7540 0.7460 0.5288
0.2538 0.7235 0.4886
0.7462 0.2765 0.5114
0.2460 0.2540 0.0288
0.2460 0.2540 0.4712
0.7540 0.7460 0.9712
0.7765 0.2462 0.0114
0.0000 0.5000 0.0000
0.0000 0.5000 0.5000
0.5000 0.5000 0.0000
0.5000 0.0000 0.5000
0.0000 0.0000 0.5000
0.5000 0.0000 0.0000
0.0000 0.0000 0.0000
0.5000 0.5000 0.5000
```

Values from the calculation:
Formation energy from raw total energies: -9.82 kJ/mol of atoms
Symmetry: Imma (74)
V: 31.0 Å³ per atom

=====

(13)
Material: TlHgTe3As
Method: DFT, PBE-GGA
State: optimized geometry

Cell and atoms, written as POSCAR:
```
TlHgTe3As
1.0
-2.2915 -1.6869 -3.3472
7.5300 -2.8618 -3.7129
-3.1760 -7.8227 6.1168
Tl As Te Hg
2 2 6 2
direct
0.7500 0.7874 0.7396
0.2500 0.2126 0.2604
0.7500 0.3268 0.8860
0.2500 0.6732 0.1140
0.7500 0.2537 0.5377
0.2500 0.5451 0.8521
0.2500 0.1118 0.8966
0.7500 0.4549 0.1479
0.7500 0.8882 0.1034
0.2500 0.7463 0.4623
0.2500 0.0872 0.6190
0.7500 0.9128 0.3810
```

Values from the calculation:
Formation energy from raw total energies: -10.63 kJ/mol of atoms
Symmetry: P2_1/m (11)
V: 32.7 Å³ per atom

=====

(14)
Material: TlHgTe4As2
Method: DFT, PBE-GGA
State: optimized geometry

Cell and atoms, written as POSCAR:
```
TlHgTe4As2
1.0
8.1615 0.0000 0.0000
4.0808 5.4776 -0.5036
4.0808 -0.0530 5.5004
Te As Hg Tl
4 2 1 1
direct
0.0579 0.9443 0.5418
0.9421 0.4582 0.0557
0.5440 0.0557 0.4582
0.4560 0.5418 0.9443
0.8264 0.6736 0.6736
0.1736 0.3264 0.3264
0.5000 0.5000 0.5000
0.0000 0.0000 0.0000
```

Values from the calculation:
Formation energy from raw total energies: 3.50 kJ/mol of atoms
Symmetry: I222 (23)
V: 30.7 Å³ per atom

=====

(15)
Material: Tm4HgTe2As
Method: DFT, PBE-GGA
State: optimized geometry

Cell and atoms, written as POSCAR:
```
Tm4HgTe2As
1.0
-2.5739 -0.7487 3.1232
5.7551 -1.4843 4.3870
2.1343 6.3841 3.2893
Tm Hg Te As
4 1 2 1
direct
0.0000 0.2705 0.2499
0.5000 0.2777 0.7347
0.5000 0.7223 0.2653
0.0000 0.7295 0.7501
0.5000 0.5000 0.0000
0.0000 0.0000 0.0000
0.5000 0.0000 0.5000
0.0000 0.5000 0.5000
```

Values from the calculation:
Formation energy from raw total energies: -104.48 kJ/mol of atoms
Symmetry: P2/m (10)
V: 27.1 Å³ per atom

=====

(16)
Material: VHgTe2As
Method: DFT, PBE-GGA
State: optimized geometry

Cell and atoms, written as POSCAR:
```
VHgTe2As
1.0
5.5876 0.0000 0.0000
0.0000 4.7321 0.0000
0.0000 0.0000 5.5876
Hg Te V As
1 2 1 1
direct
0.5000 0.5000 0.5000
0.5000 0.0000 0.0000
0.0000 0.0000 0.5000
0.0000 0.5000 0.0000
0.0000 0.0000 0.0000
```

Values from the calculation:
Formation energy from raw total energies: 67.70 kJ/mol of atoms
Symmetry: P4/mmm (123)
V: 29.5 Å³ per atom

=====

(17)
Material: Y6HgTe3As2
Method: DFT, PBE-GGA
State: optimized geometry

Cell and atoms, written as POSCAR:
```
Y6HgTe3As2
1.0
-0.2365 3.5140 2.3002
-6.5259 2.8515 -5.0270
-4.2111 -6.5132 5.6708
Y As Te Hg
6 2 3 1
direct
0.6650 0.1043 0.3300
0.0078 0.2481 0.0156
0.3350 0.8957 0.6700
0.3260 0.4331 0.6520
0.6740 0.5669 0.3480
0.9922 0.7519 0.9844
0.1681 0.3367 0.3361
0.8319 0.6633 0.6639
0.8336 0.1683 0.6673
0.5000 0.5000 0.0000
0.1664 0.8317 0.3327
0.5000 0.0000 0.0000
```

Values from the calculation:
Formation energy from raw total energies: -124.80 kJ/mol of atoms
Symmetry: C2/m (12)
V: 27.8 Å³ per atom

=====

(18)
Material: ThHgAs2
Method: DFT, PBE-GGA
State: optimized geometry

Cell and atoms, written as POSCAR:
```
ThHgAs2
1.0
-0.1679 -2.1964 3.2196
4.1048 -2.1884 -1.2789
2.5262 3.3328 2.4053
As Hg Th
2 1 1
direct
0.0000 0.5000 0.0000
0.0000 0.0000 0.5000
0.5000 0.0000 0.0000
0.5000 0.5000 0.5000
```

Values from the calculation:
Energy of formation: -0.654 eV per atom
Symmetry: P4/mmm (123)
V: 22.7 Å³ per atom

=====

(19)
Material: Ti2HgAs
Method: DFT, PBE-GGA
State: optimized geometry

Cell and atoms, written as POSCAR:
```
Ti2HgAs
1.0
0.0000 3.2742 3.2742
3.2742 0.0000 3.2742
3.2742 3.2742 0.0000
As Hg Ti
1 1 2
direct
0.0000 0.0000 0.0000
0.5000 0.5000 0.5000
0.2500 0.2500 0.2500
0.7500 0.7500 0.7500
```

Values from the calculation:
Energy of formation: -0.169 eV per atom
Symmetry: Fm-3m (225)
V: 17.5 Å³ per atom

=====

(20)
Material: Ti2HgAs
Method: DFT, PBE-GGA
State: optimized geometry

Cell and atoms, written as POSCAR:
```
Ti2HgAs
1.0
7.2019 0.0000 0.0000
0.0000 7.2019 0.0000
3.6009 3.6009 2.9247
Hg As Ti
2 2 4
direct
0.7500 0.2500 0.5000
0.0000 0.0000 0.0000
0.5000 0.5000 0.0000
0.2500 0.7500 0.5000
0.1483 0.6250 0.2500
0.6017 0.1250 0.2500
0.8750 0.8517 0.7500
0.3750 0.3983 0.7500
```

Values from the calculation:
Energy of formation: -0.158 eV per atom
Symmetry: I-42d (122)
V: 19.0 Å³ per atom

=====

(21)
Material: Ti2Hg2As
Method: DFT, PBE-GGA
State: optimized geometry

Cell and atoms, written as POSCAR:
```
Ti2Hg2As
1.0
-3.1467 -3.0905 -6.4111
7.0444 -0.3527 -3.2875
0.4362 -3.0653 1.2636
Hg Ti As
4 4 2
direct
0.1326 0.3674 0.0000
0.3674 0.8674 0.0000
0.6326 0.1326 0.0000
0.8674 0.6326 0.0000
0.3322 0.1678 0.5000
0.6678 0.8322 0.5000
0.8322 0.3322 0.5000
0.1678 0.6678 0.5000
0.0000 0.0000 0.0000
0.5000 0.5000 0.0000
```

Values from the calculation:
Energy of formation: 0.275 eV per atom
Symmetry: P4/mbm (127)
V: 20.3 Å³ per atom

=====

(22)
Material: Ti2Hg2As
Method: DFT, PBE-GGA
State: optimized geometry

Cell and atoms, written as POSCAR:
```
Ti2Hg2As
1.0
-0.1591 -0.9699 -3.6291
1.6475 -3.2825 0.8050
-5.8660 -5.1731 -0.3080
As Hg Ti
1 2 2
direct
0.0000 0.0000 0.0000
0.5991 0.5991 0.8017
0.4009 0.4009 0.1983
0.7500 0.2500 0.5000
0.2500 0.7500 0.5000
```

Values from the calculation:
Energy of formation: 0.366 eV per atom
Symmetry: I4/mmm (139)
V: 20.8 Å³ per atom

=====

(23)
Material: Ti2Hg2As
Method: DFT, PBE-GGA
State: optimized geometry

Cell and atoms, written as POSCAR:
```
Ti2Hg2As
1.0
-6.5084 -0.4279 1.1239
-0.9736 -1.7559 -6.3067
0.4848 -4.3731 1.1427
Ti As Hg
4 2 4
direct
0.6540 0.1540 0.0000
0.3460 0.8460 0.0000
0.8460 0.6540 0.0000
0.1540 0.3460 0.0000
0.5000 0.5000 0.0000
0.0000 0.0000 0.0000
0.6557 0.8443 0.5000
0.1557 0.6557 0.5000
0.3443 0.1557 0.5000
0.8443 0.3443 0.5000
```

Values from the calculation:
Energy of formation: -0.230 eV per atom
Symmetry: P4/mbm (127)
V: 19.9 Å³ per atom

=====

(24)
Material: TiHg2As
Method: DFT, PBE-GGA
State: optimized geometry

Cell and atoms, written as POSCAR:
```
TiHg2As
1.0
7.9714 0.0000 0.0000
0.0000 7.9714 0.0000
3.9857 3.9857 2.7142
As Ti Hg
2 2 4
direct
0.0000 0.0000 0.0000
0.7500 0.2500 0.5000
0.2500 0.7500 0.5000
0.5000 0.5000 0.0000
0.8750 0.8795 0.7500
0.1205 0.6250 0.2500
0.3750 0.3705 0.7500
0.6295 0.1250 0.2500
```

Values from the calculation:
Energy of formation: 0.134 eV per atom
Symmetry: I-42d (122)
V: 21.6 Å³ per atom

=====

(25)
Material: TiHg2As2
Method: DFT, PBE-GGA
State: optimized geometry

Cell and atoms, written as POSCAR:
```
TiHg2As2
1.0
-1.8853 6.3051 -0.2825
-5.0785 -1.6905 -3.8392
-3.0244 -0.7110 4.3137
As Ti Hg
4 2 4
direct
0.6356 0.1356 0.0000
0.1356 0.3644 0.0000
0.3644 0.8644 0.0000
0.8644 0.6356 0.0000
0.0000 0.0000 0.0000
0.5000 0.5000 0.0000
0.7269 0.2269 0.5000
0.2269 0.2731 0.5000
0.2731 0.7731 0.5000
0.7731 0.7269 0.5000
```

Values from the calculation:
Energy of formation: 0.024 eV per atom
Symmetry: P4/mbm (127)
V: 23.1 Å³ per atom

=====

(26)
Material: Ti4Hg2As
Method: DFT, PBE-GGA
State: optimized geometry

Cell and atoms, written as POSCAR:
```
Ti4Hg2As
1.0
-2.4795 -3.8965 0.2613
3.8198 -2.4842 -0.7982
1.8940 -3.5097 6.5823
Hg Ti As
2 4 1
direct
0.3707 0.3707 0.2586
0.6293 0.6293 0.7414
0.5000 0.0000 0.0000
0.1751 0.1751 0.6499
0.0000 0.5000 0.0000
0.8249 0.8249 0.3501
0.0000 0.0000 0.0000
```

Values from the calculation:
Energy of formation: 0.162 eV per atom
Symmetry: I4/mmm (139)
V: 21.3 Å³ per atom